[1]
First-principles (PBE-GGA) data for CuSiNi2 after structural relaxation, as listed in Alexandria via LeMat-Bulk.

## Properties
* calculated volume: 11.33 Å³ per atom
* formation energy from raw total energies: -0.1976 eV per atom
* total DFT energy (no corrections): -5.4681 eV/atom

a = 4.1358 Å, b = 2.6666 Å, c = 4.3681 Å
α = 90.00°, β = 109.84°, γ = 90.00°
Space group P2/m (No. 10)
Symmetry-distinct sites (fractional):
Cu 0.0000 0.0000 0.0000 (multiplicity 1)
Si 0.0000 0.5000 0.5000 (multiplicity 1)
Ni 0.5000 0.0000 0.5000 (multiplicity 1)
Ni 0.5000 0.5000 0.0000 (multiplicity 1)

[2]
First-principles (PBE-GGA) data for Na2UCuO6 after structural relaxation, as listed in Alexandria via LeMat-Bulk.

## Properties
* calculated volume: 13.86 Å³ per atom
* formation energy from raw total energies: -1.8451 eV per atom
* total DFT energy (no corrections): -6.6223 eV/atom

a = 10.7911 Å, b = 5.4760 Å, c = 5.2929 Å
α = 90.00°, β = 117.56°, γ = 90.00°
Space group C2/m (No. 12)
Symmetry-distinct sites (fractional):
Na 0.2495 0.0000 0.1980 (multiplicity 4)
U 0.0000 0.0000 0.5000 (multiplicity 2)
Cu 0.0000 0.5000 0.0000 (multiplicity 2)
O 0.0631 0.2694 0.8356 (multiplicity 8)
O 0.1871 0.0000 0.5586 (multiplicity 4)

[3]
First-principles (PBE-GGA) data for Te6Pd3Pt after structural relaxation, as listed in Alexandria via LeMat-Bulk.

## Properties
* calculated volume: 25.34 Å³ per atom
* formation energy from raw total energies: -0.3058 eV per atom
* total DFT energy (no corrections): -4.3527 eV/atom

a = 7.0147 Å, b = 7.0147 Å, c = 17.8426 Å
α = 90.00°, β = 90.00°, γ = 120.00°
Space group R3 (No. 146, hexagonal axes)
Symmetry-distinct sites (fractional):
Te 0.0029 0.3042 0.0000 (multiplicity 9)
Te 0.0339 0.6694 0.1669 (multiplicity 9)
Pd 0.0000 0.0000 0.0994 (multiplicity 3)
Pd 0.0000 0.0000 0.6012 (multiplicity 3)
Pd 0.0000 0.0000 0.8981 (multiplicity 3)
Pt 0.0000 0.0000 0.4009 (multiplicity 3)

[4]
First-principles (PBE-GGA) data for K3Bi5Br12 after structural relaxation, as listed in Alexandria via LeMat-Bulk.

## Properties
* calculated volume: 44.69 Å³ per atom
* formation energy from raw total energies: -0.6583 eV per atom
* total DFT energy (no corrections): -2.7969 eV/atom

a = 19.2651 Å, b = 19.2651 Å, c = 19.2651 Å
α = 90.00°, β = 90.00°, γ = 90.00°
Space group Ia-3d (No. 230)
Symmetry-distinct sites (fractional):
K 0.0000 0.2500 0.1250 (multiplicity 24)
Bi 0.0000 0.0000 0.0000 (multiplicity 16)
Bi 0.0000 0.2500 0.3750 (multiplicity 24)
Br 0.0271 0.0507 0.6454 (multiplicity 96)

[5]
First-principles (PBE-GGA) data for DyY5Er4 after structural relaxation, as listed in Alexandria via LeMat-Bulk.

## Properties
* formation enthalpy at 0 K: 312 meV per atom
* calculated volume: 32.51 Å³ per atom
* total DFT energy (no corrections): -5.2053 eV/atom

a = 10.1686 Å, b = 10.1686 Å, c = 6.2874 Å
α = 90.00°, β = 90.00°, γ = 90.00°
Space group I4 (No. 79)
Symmetry-distinct sites (fractional):
Dy 0.0000 0.0000 0.0000 (multiplicity 2)
Y 0.0000 0.0000 0.5432 (multiplicity 2)
Y 0.1456 0.2342 0.2684 (multiplicity 8)
Er 0.0496 0.3490 0.7695 (multiplicity 8)

[6]
First-principles (PBE-GGA) data for Pr5Ga3Ni3 after structural relaxation, as listed in Alexandria via LeMat-Bulk.

## Properties
* formation enthalpy at 0 K: -181 meV per atom
* calculated volume: 25.66 Å³ per atom
* total DFT energy (no corrections): -4.7555 eV/atom

a = 9.1566 Å, b = 9.1566 Å, c = 3.8879 Å
α = 90.00°, β = 90.00°, γ = 120.00°
Space group P-62m (No. 189)
Symmetry-distinct sites (fractional):
Pr 0.0000 0.7489 0.0000 (multiplicity 3)
Pr 0.3333 0.6667 0.0000 (multiplicity 2)
Ga 0.0000 0.4754 0.5000 (multiplicity 3)
Ni 0.0000 0.3336 0.0000 (multiplicity 3)

[7]
First-principles (PBE-GGA) data for TlIn7Hg6 after structural relaxation, as listed in Alexandria via LeMat-Bulk.

## Properties
* formation enthalpy at 0 K: 40 meV per atom
* calculated volume: 28.30 Å³ per atom
* total DFT energy (no corrections): -1.6272 eV/atom

a = 6.1417 Å, b = 21.3380 Å, c = 12.0930 Å
α = 90.00°, β = 90.00°, γ = 90.00°
Space group Ibam (No. 72)
Symmetry-distinct sites (fractional):
Tl 0.0000 0.0000 0.2500 (multiplicity 4)
In 0.0000 0.5000 0.2500 (multiplicity 4)
In 0.1484 0.2248 0.1267 (multiplicity 16)
In 0.2460 0.4583 0.0000 (multiplicity 8)
Hg 0.2238 0.3655 0.1872 (multiplicity 16)
Hg 0.2485 0.4002 0.5000 (multiplicity 8)

[8]
First-principles (PBE-GGA) data for ScBeZn2 after structural relaxation, as listed in Alexandria via LeMat-Bulk.

## Properties
* formation enthalpy at 0 K: 204 meV per atom
* calculated volume: 16.31 Å³ per atom
* total DFT energy (no corrections): -2.9470 eV/atom

a = 3.0294 Å, b = 3.0294 Å, c = 24.6197 Å
α = 90.00°, β = 90.00°, γ = 120.00°
Space group R-3m (No. 166, hexagonal axes)
Symmetry-distinct sites (fractional):
Sc 0.0000 0.0000 0.0000 (multiplicity 3)
Be 0.0000 0.0000 0.5000 (multiplicity 3)
Zn 0.0000 0.0000 0.2377 (multiplicity 6)